Dy3Sn2Rh6: optimized geometry, GGA-PBE.

Cell: 15.3396 15.3396 15.3396 Å, 165.40 165.40 20.70°
With the nearest neighbours (Å) after each atom.
Atoms (fractional coordinates):
Dy1 0.0000 0.0000 0.0000  8 Rh 2.88
Dy2 0.1904 0.1904 0.0000  5 Rh 2.81-2.87
Dy3 0.8096 0.8096 0.0000  5 Rh 2.81-2.87
Sn1 0.3710 0.3710 0.0000  5 Rh 2.64
Sn2 0.6290 0.6290 0.0000  5 Rh 2.64
Rh1 0.0702 0.5702 0.5000  2 Sn 2.64, 4 Rh 2.76, 2 Dy 2.88
Rh2 0.2836 0.2836 0.0000  1 Sn 2.64, 5 Dy 2.81-2.87
Rh3 0.4298 0.9298 0.5000  2 Sn 2.64, 4 Rh 2.76, 2 Dy 2.88
Rh4 0.5702 0.0702 0.5000  2 Sn 2.64, 4 Rh 2.76, 2 Dy 2.88
Rh5 0.7164 0.7164 0.0000  1 Sn 2.64, 5 Dy 2.81-2.87
Rh6 0.9298 0.4298 0.5000  2 Sn 2.64, 4 Rh 2.76, 2 Dy 2.88

Results
- Spin magnetization: 0.00 Bohr magnetons per cell
- Distance to the lowest polymorph of the same formula: 291 meV per atom
- Energy of formation from the pure elements: -424 meV/atom
- Calculated volume: 229.3 Å³ per cell

---

CaAcIn4: optimized geometry, GGA-PBE.

Cell: 5.1235 5.1235 7.6707 Å, 90.00 90.00 120.00°
With the nearest neighbours (Å) after each atom.
Atoms (fractional coordinates):
Ca1 0.0000 0.0000 0.0000  12 In 3.41
Ac1 0.0000 0.0000 0.5000  12 In 3.65, 2 Ca 3.84
In1 0.3333 0.6667 0.2216  3 In 2.96
In2 0.3333 0.6667 0.7784  3 In 2.96
In3 0.6667 0.3333 0.2216  3 In 2.96
In4 0.6667 0.3333 0.7784  3 In 2.96

Results
- Spin magnetization: 0.00 Bohr magnetons per cell
- Distance to the lowest polymorph of the same formula: 14 meV per atom
- Energy of formation from the pure elements: -414 meV/atom
- Calculated volume: 174.4 Å³ per cell

---

AsOsPd3: optimized geometry, GGA-PBE.

Cell: 4.7973 4.7973 4.7973 Å, 90.00 90.00 90.00°
With the nearest neighbours (Å) after each atom.
Atoms (fractional coordinates):
As1 0.0000 0.0000 0.0000  12 Pd 3.39
Os1 0.5000 0.5000 0.5000  6 Pd 2.40
Pd1 0.0000 0.5000 0.5000  2 Os 2.40
Pd2 0.5000 0.0000 0.5000  2 Os 2.40
Pd3 0.5000 0.5000 0.0000  2 Os 2.40

Results
- Spin magnetization: 0.00 Bohr magnetons per cell
- Distance to the lowest polymorph of the same formula: 351 meV per atom
- Energy of formation from the pure elements: 1361 meV/atom
- Calculated volume: 110.4 Å³ per cell

---

Sr3TlAu3: optimized geometry, GGA-PBE.

Cell: 6.5883 6.5883 15.7426 Å, 108.09 108.09 40.31°
With the nearest neighbours (Å) after each atom.
Atoms (fractional coordinates):
Sr1 0.0168 0.0168 0.3795  6 Au 3.27-3.38, 3 Tl 3.42-3.65
Sr2 0.1082 0.1082 0.9249  7 Au 3.26-3.52
Sr3 0.2354 0.2354 0.2264  6 Au 3.27-3.57, 2 Tl 3.56
Sr4 0.7646 0.7646 0.7736  6 Au 3.27-3.57, 2 Tl 3.56
Sr5 0.8918 0.8918 0.0751  7 Au 3.26-3.52
Sr6 0.9832 0.9832 0.6205  6 Au 3.27-3.38, 3 Tl 3.42-3.65
Tl1 0.2690 0.2690 0.6005  4 Au 2.87-3.15
Tl2 0.7310 0.7310 0.3995  4 Au 2.87-3.15
Au1 0.3802 0.3802 0.4545  1 Au 2.83, 3 Tl 2.87-3.04
Au2 0.3905 0.3905 0.9234  2 Au 2.97, 4 Sr 3.27-3.29
Au3 0.4875 0.4875 0.7745  1 Au 2.97, 1 Tl 3.15, 4 Sr 3.26-3.31
Au4 0.5125 0.5125 0.2255  1 Au 2.97, 1 Tl 3.15, 4 Sr 3.26-3.31
Au5 0.6095 0.6095 0.0766  2 Au 2.97, 4 Sr 3.27-3.29
Au6 0.6198 0.6198 0.5455  1 Au 2.83, 3 Tl 2.87-3.04

Results
- Spin magnetization: 0.00 Bohr magnetons per cell
- Energy of formation from the pure elements: -650 meV/atom
- Calculated volume: 417.2 Å³ per cell

---

Ba2LiZn4Ga3: optimized geometry, GGA-PBE.

Cell: 4.6641 4.6641 10.4932 Å, 90.00 90.00 90.00°
With the nearest neighbours (Å) after each atom.
Atoms (fractional coordinates):
Ba1 0.0000 0.5000 0.2459  8 Zn 3.48-3.58, 6 Ga 3.52-3.54, 2 Li 3.54
Ba2 0.5000 0.0000 0.7541  8 Zn 3.48-3.58, 6 Ga 3.52-3.54, 2 Li 3.54
Li1 0.0000 0.0000 0.5000  4 Zn 2.65
Zn1 0.0000 0.0000 0.0000  4 Ga 2.69
Zn2 0.0000 0.5000 0.6209  3 Ga 2.63-2.65, 2 Li 2.65
Zn3 0.5000 0.0000 0.3791  3 Ga 2.63-2.65, 2 Li 2.65
Zn4 0.5000 0.5000 0.0000  4 Ga 2.69
Ga1 0.0000 0.5000 0.8713  5 Zn 2.63-2.69
Ga2 0.5000 0.0000 0.1287  5 Zn 2.63-2.69
Ga3 0.5000 0.5000 0.5000  4 Zn 2.65

Results
- Spin magnetization: 0.00 Bohr magnetons per cell
- Energy of formation from the pure elements: -291 meV/atom
- Calculated volume: 228.3 Å³ per cell

---

PuCoN2: optimized geometry, GGA-PBE.

Cell: 5.8201 5.8201 5.8201 Å, 35.94 35.94 35.94°
With the nearest neighbours (Å) after each atom.
Atoms (fractional coordinates):
Pu1 0.0000 0.0000 0.0000  6 N 2.28
Co1 0.5000 0.5000 0.5000  2 N 1.77
N1 0.3914 0.3914 0.3914  1 Co 1.77
N2 0.6086 0.6086 0.6086  1 Co 1.77

Results
- ΔE_f (raw): -0.46 eV per atom
- Spin magnetization: 5.70 Bohr magnetons per cell
- Calculated volume: 60.7 Å³ per cell

---

SmSi3OsRu: optimized geometry, GGA-PBE.

Cell: 6.7354 6.7354 5.5086 Å, 90.00 90.00 111.56°
With the nearest neighbours (Å) after each atom.
Atoms (fractional coordinates):
Sm1 0.2467 0.7533 0.7500  2 Si 2.75
Sm2 0.7533 0.2467 0.2500  2 Si 2.75
Si1 0.2498 0.7502 0.2500  1 Ru 2.18, 1 Os 2.21
Si2 0.2525 0.2525 0.0000  2 Ru 2.40, 2 Os 2.42
Si3 0.2525 0.2525 0.5000  2 Ru 2.40, 2 Os 2.42
Si4 0.7475 0.7475 0.0000  2 Ru 2.40, 2 Os 2.42
Si5 0.7475 0.7475 0.5000  2 Ru 2.40, 2 Os 2.42
Si6 0.7502 0.2498 0.7500  1 Ru 2.18, 1 Os 2.21
Os1 0.0510 0.9490 0.2500  5 Si 2.21-2.42
Os2 0.9490 0.0510 0.7500  5 Si 2.21-2.42
Ru1 0.4455 0.5545 0.2500  5 Si 2.18-2.40
Ru2 0.5545 0.4455 0.7500  5 Si 2.18-2.40

Results
- ΔE_f (raw): -0.39 eV per atom
- Spin magnetization: 0.00 Bohr magnetons per cell
- Calculated volume: 232.4 Å³ per cell

---

Pm3Cd2Hg: optimized geometry, GGA-PBE.

Cell: 5.4080 5.4080 6.6189 Å, 90.00 90.00 120.00°
With the nearest neighbours (Å) after each atom.
Atoms (fractional coordinates):
Pm1 0.0000 0.0000 0.0000  6 Cd 3.29, 2 Hg 3.31
Pm2 0.3333 0.6667 0.6613  5 Cd 3.28-3.35, 3 Hg 3.30
Pm3 0.6667 0.3333 0.3387  5 Cd 3.28-3.35, 3 Hg 3.30
Cd1 0.3333 0.6667 0.1574  8 Pm 3.28-3.35
Cd2 0.6667 0.3333 0.8426  8 Pm 3.28-3.35
Hg1 0.0000 0.0000 0.5000  8 Pm 3.30-3.31

Results
- Spin magnetization: 1.39 Bohr magnetons per cell
- Energy of formation from the pure elements: -371 meV/atom
- Calculated volume: 167.6 Å³ per cell

---

PrSm5YTh2: optimized geometry, GGA-PBE.

Cell: 10.0347 10.0347 10.0347 Å, 126.88 126.88 78.45°
With the nearest neighbours (Å) after each atom.
Atoms (fractional coordinates):
Pr1 0.2500 0.2500 0.0000  10 Sm 3.66-3.89
Pr2 0.7500 0.7500 0.0000  10 Sm 3.66-3.89
Sm1 0.0000 0.0000 0.0000  4 Th 3.58, 8 Sm 3.86, 2 Pr 3.89
Sm2 0.0722 0.5722 0.9181  1 Th 3.05, 1 Y 3.18
Sm3 0.1541 0.0722 0.5000  1 Th 3.05, 1 Y 3.18
Sm4 0.3459 0.8459 0.9181  1 Th 3.05, 1 Y 3.18
Sm5 0.4278 0.3459 0.5000  1 Th 3.05, 1 Y 3.18
Sm6 0.5000 0.5000 0.0000  4 Th 3.58, 8 Sm 3.86, 2 Pr 3.89
Sm7 0.5722 0.6541 0.5000  1 Th 3.05, 1 Y 3.18
Sm8 0.6541 0.1541 0.0819  1 Th 3.05, 1 Y 3.18
Sm9 0.8459 0.9278 0.5000  1 Th 3.05, 1 Y 3.18
Sm10 0.9278 0.4278 0.0819  1 Th 3.05, 1 Y 3.18
Y1 0.2500 0.7500 0.5000  4 Sm 3.18
Y2 0.7500 0.2500 0.5000  4 Sm 3.18
Th1 0.1187 0.3813 0.5000  1 Th 3.01, 2 Sm 3.05
Th2 0.3813 0.8813 0.2626  1 Th 3.01, 2 Sm 3.05
Th3 0.6187 0.1187 0.7374  1 Th 3.01, 2 Sm 3.05
Th4 0.8813 0.6187 0.5000  1 Th 3.01, 2 Sm 3.05

Results
- Spin magnetization: 0.00 Bohr magnetons per cell
- Energy of formation from the pure elements: 324 meV/atom
- Calculated volume: 626.1 Å³ per cell

---

Nd2SnSb: optimized geometry, GGA-PBE.

Cell: 8.1850 8.1850 8.1850 Å, 31.23 31.23 31.23°
With the nearest neighbours (Å) after each atom.
Atoms (fractional coordinates):
Nd1 0.2474 0.2474 0.2474  3 Sb 3.17, 3 Sn 3.24
Nd2 0.7526 0.7526 0.7526  3 Sb 3.17, 3 Sn 3.24
Sn1 0.0000 0.0000 0.0000  6 Nd 3.24
Sb1 0.5000 0.5000 0.5000  6 Nd 3.17

Results
- ΔE_f (raw): -0.88 eV per atom
- Spin magnetization: 0.00 Bohr magnetons per cell
- Distance to the lowest polymorph of the same formula: 101 meV per atom
- Calculated volume: 130.8 Å³ per cell